P) The following is a DFT calculation (meta-GGA SCAN) of a PBEsol-optimized structure of ZrCo2Cl.

Fermi-level density of states in states/eV/f.u.: 2.67
Calculated volume in Å³/cell: 56.4

The structure in CIF format:
```
data_ZrCo2Cl
_chemical_formula_sum 'Zr1 Co2 Cl1'
_symmetry_space_group_name_H-M 'P m m m'
_symmetry_Int_Tables_number 47
_symmetry_space_group_name_Hall '-P 2 2'
_cell_length_a 3.118
_cell_length_b 3.711
_cell_length_c 4.872
_cell_angle_alpha 90.00
_cell_angle_beta 90.00
_cell_angle_gamma 90.00
loop_
_atom_site_label
_atom_site_type_symbol
_atom_site_fract_x
_atom_site_fract_y
_atom_site_fract_z
_atom_site_occupancy
Zr1 Zr 0.000 0.000 0.000 1
Co1 Co 0.500 0.500 0.244 1
Cl1 Cl 0.500 0.000 0.500 1
```



Q) The following is a DFT calculation (meta-GGA SCAN) of a PBEsol-optimized structure of ZrCo2Cl.

Fermi-level density of states in states/eV/f.u.: 2.74
Calculated volume in Å³/cell: 58.0

The structure in CIF format:
```
data_ZrCo2Cl
_chemical_formula_sum 'Zr1 Co2 Cl1'
_symmetry_space_group_name_H-M 'P 4/m m m'
_symmetry_Int_Tables_number 123
_symmetry_space_group_name_Hall '-P 4 2'
_cell_length_a 3.471
_cell_length_b 3.471
_cell_length_c 4.815
_cell_angle_alpha 90.00
_cell_angle_beta 90.00
_cell_angle_gamma 90.00
loop_
_atom_site_label
_atom_site_type_symbol
_atom_site_fract_x
_atom_site_fract_y
_atom_site_fract_z
_atom_site_occupancy
Zr1 Zr 0.000 0.000 0.000 1
Co1 Co 0.000 0.500 0.500 1
Cl1 Cl 0.500 0.500 0.000 1
```



Relative energy table, unit meV per atom: P) 0; Q) 131